# 1
TbCeTh GGA-PBE relaxed; calculated volume = 30.85 Å³ per atom; ΔH_f (0 K) = 0.082 eV per atom
1.0
3.524 0.000 0.000
0.000 4.940 0.000
0.000 0.000 10.631
Tb Ce Th
2 2 2
Direct
0.250 0.250 0.247
0.750 0.750 0.753
0.250 0.250 0.923
0.750 0.750 0.077
0.250 0.250 0.583
0.750 0.750 0.417

# 2
Mn3HPb GGA-PBE relaxed; calculated volume = 29.63 Å³ per atom
1.0
5.292 0.000 0.000
0.000 5.292 0.000
0.000 0.000 5.292
Mn H Pb
3 1 1
Direct
0.000 0.000 0.500
0.000 0.500 0.000
0.500 0.000 0.000
0.500 0.500 0.500
0.000 0.000 0.000

# 3
MgBS2N GGA-PBE relaxed; E_form (uncorrected) = 1.66 eV/atom; calculated volume = 19.58 Å³ per atom
1.0
4.901 0.000 0.000
0.000 4.901 0.000
0.000 0.000 4.076
Mg B S N
1 1 2 1
Direct
0.000 0.000 0.000
0.500 0.500 0.500
0.000 0.500 0.000
0.500 0.000 0.000
0.000 0.000 0.500

# 4
Ca2ZrFeC GGA-PBE relaxed; calculated volume = 25.13 Å³ per atom; ΔH_f (0 K) = 1.429 eV per atom
1.0
5.287 0.000 0.000
0.000 5.287 0.000
0.000 0.000 4.495
Ca Zr Fe C
2 1 1 1
Direct
0.000 0.500 0.000
0.500 0.000 0.000
0.000 0.000 0.500
0.000 0.000 0.000
0.500 0.500 0.500

Calculated D(E_F) in order - 14.80, 6.79, 3.77, 3.86 states/eV/cell
Calculated raw total energy in order - -5.91, -5.27, -3.31, -4.62 eV/atom